Below is an optimized crystal structure of LuScFeSn2, with properties calculated at the PBE level.

POSCAR file:
```
LuScFeSn2
1.0
5.380 -2.154 0.000
5.380 2.154 0.000
-4.582 0.000 9.424
Lu Sc Fe Sn
2 2 2 4
direct
0.181 0.181 0.112 Lu
0.819 0.819 0.888 Lu
0.020 0.020 0.342 Sc
0.980 0.980 0.658 Sc
0.288 0.288 0.649 Fe
0.712 0.712 0.351 Fe
0.349 0.349 0.430 Sn
0.473 0.473 0.128 Sn
0.527 0.527 0.872 Sn
0.651 0.651 0.570 Sn
```

Summary:
The density is 7.81 g/cm³. Its spin magnetization is 2.95 μB per cell. For the calculated total energy, the calculation gives -0.4296 Ry per atom.